(P)
The following is a PBE calculation of Na2As2I after structural relaxation, from the Alexandria database.

DOS(E_F) (states/eV per atom): 0.467

Cell lengths 8.4866, 8.4866, 4.2895 Å; angles 90.00, 90.00, 90.00 degrees
Last column: nearest neighbours and their distance in Å.
Sites, in units of the cell vectors:
Na 0.1866 0.3134 0.0000  2 I 3.10, 6 As 3.30-3.40
Na 0.3134 0.8134 0.0000  2 I 3.10, 6 As 3.30-3.40
Na 0.6866 0.1866 0.0000  2 I 3.10, 6 As 3.30-3.40
Na 0.8134 0.6866 0.0000  2 I 3.10, 6 As 3.30-3.40
As 0.0931 0.5931 0.5000  1 As 2.24
As 0.4069 0.0931 0.5000  1 As 2.24
As 0.5931 0.9069 0.5000  1 As 2.24
As 0.9069 0.4069 0.5000  1 As 2.24
I 0.0000 0.0000 0.0000  4 Na 3.10
I 0.5000 0.5000 0.0000  4 Na 3.10


(Q)
The following is a PBE calculation of Na2As2I after structural relaxation, from the Alexandria database.

DOS(E_F) (states/eV per atom): 0.542

Cell lengths 6.2965, 6.2965, 6.2965 Å; angles 124.96, 124.96, 81.61 degrees
Last column: nearest neighbours and their distance in Å.
Sites, in units of the cell vectors:
Na 0.2500 0.7500 0.5000  4 As 3.18
Na 0.7500 0.2500 0.5000  4 As 3.18
As 0.1155 0.1155 0.0000  1 As 2.20
As 0.8845 0.8845 0.0000  1 As 2.20
I 0.5000 0.5000 0.0000  2 As 3.67, 8 Na 3.76


Pick (P): it beats the second-best structure by 125 meV/atom.


(P)
The following is a PBE calculation of NaAsI2O after structural relaxation, from the Alexandria database.

DOS(E_F) (states/eV per atom): 0.074

Cell lengths 5.9397, 5.9397, 3.8821 Å; angles 90.00, 90.00, 90.00 degrees
Last column: nearest neighbours and their distance in Å.
Sites, in units of the cell vectors:
Na 0.0000 0.0000 0.0000  8 I 3.55, 2 Na 3.88
As 0.5000 0.5000 0.5000  2 O 1.94
I 0.0000 0.5000 0.5000  2 As 2.97
I 0.5000 0.0000 0.5000  2 As 2.97
O 0.5000 0.5000 0.0000  2 As 1.94


(Q)
The following is a PBE calculation of NaAsI2O after structural relaxation, from the Alexandria database.

DOS(E_F) (states/eV per atom): 2.184

Cell lengths 5.6840, 5.6840, 4.0995 Å; angles 90.00, 90.00, 90.00 degrees
Last column: nearest neighbours and their distance in Å.
Sites, in units of the cell vectors:
Na 0.0000 0.0000 0.0000  2 O 2.05
As 0.5000 0.5000 0.5000  8 I 3.50
I 0.0000 0.5000 0.0000  2 Na 2.84
I 0.5000 0.0000 0.0000  2 Na 2.84
O 0.0000 0.0000 0.5000  2 Na 2.05


Pick (P): it beats the second-best structure by 1097 meV/atom.